No. 1
First-principles (PBE-GGA) data for HoEr2TmAl2 after structural relaxation, as listed in the Open Quantum Materials Database.

Computed properties:
- V (Å³/cell) = 153.3
- uncorrected energy (eV per atom) = -4.555

Lattice parameters (Å, degrees): 5.1868 5.1868 6.5779 90.00 90.00 120.00
Space group P-6m2 (No. 187)
Asymmetric unit:
1 Ho 0.0000 0.0000 0.0000 x1
2 Er 0.6667 0.3333 0.2511 x2
3 Tm 0.3333 0.6667 0.5000 x1
4 Al 0.0000 0.0000 0.5000 x1
5 Al 0.3333 0.6667 0.0000 x1



No. 2
First-principles (PBE-GGA) data for Ho2ErTmAl2 after structural relaxation, as listed in the Open Quantum Materials Database.

Computed properties:
- V (Å³/cell) = 154.1
- uncorrected energy (eV per atom) = -4.554

Lattice parameters (Å, degrees): 5.1973 5.1973 6.5857 90.00 90.00 120.00
Space group P-6m2 (No. 187)
Asymmetric unit:
1 Ho 0.0000 0.0000 0.2494 x2
2 Er 0.6667 0.3333 0.5000 x1
3 Tm 0.3333 0.6667 0.0000 x1
4 Al 0.3333 0.6667 0.5000 x1
5 Al 0.6667 0.3333 0.0000 x1



No. 3
First-principles (PBE-GGA) data for ErTmAl2I2 after structural relaxation, as listed in the Open Quantum Materials Database.

Computed properties:
- V (Å³/cell) = 188.3
- uncorrected energy (eV per atom) = -4.108

Lattice parameters (Å, degrees): 4.2592 4.2592 11.9851 90.00 90.00 120.00
Space group P3m1 (No. 156)
Asymmetric unit:
1 Er 0.0000 0.0000 0.0000 x1
2 Tm 0.0000 0.0000 0.6660 x1
3 Al 0.3333 0.6667 0.8496 x1
4 Al 0.6667 0.3333 0.8150 x1
5 I 0.3333 0.6667 0.5052 x1
6 I 0.6667 0.3333 0.1620 x1



No. 4
First-principles (PBE-GGA) data for Er3Mg3AlIn2 after structural relaxation, as listed in the Open Quantum Materials Database.

Computed properties:
- V (Å³/cell) = 221.1
- uncorrected energy (eV per atom) = -3.401

Lattice parameters (Å, degrees): 7.4412 7.4412 4.6097 90.00 90.00 120.00
Space group P-62m (No. 189)
Asymmetric unit:
1 Er 0.0000 0.4301 0.0000 x3
2 Mg 0.0000 0.7623 0.5000 x3
3 Al 0.0000 0.0000 0.0000 x1
4 In 0.3333 0.6667 0.5000 x2



No. 5
First-principles (PBE-GGA) data for Nd2ErMg3Al2In after structural relaxation, as listed in the Open Quantum Materials Database.

Computed properties:
- V (Å³/cell) = 454.1
- uncorrected energy (eV per atom) = -3.562

Lattice parameters (Å, degrees): 4.657 12.885 7.567 90.00 90.00 90.00
Space group Amm2 (No. 38)
Asymmetric unit:
1 Nd 0.000 0.218 0.000 x4
2 Er 0.000 0.000 0.347 x2
3 Mg 0.500 0.000 0.027 x2
4 Mg 0.500 0.123 0.657 x4
5 Al 0.500 0.163 0.282 x4
6 In 0.000 0.000 0.773 x2



No. 6
First-principles (PBE-GGA) data for Er2AlInPt4 after structural relaxation, as listed in the Open Quantum Materials Database.

Computed properties:
- V (Å³/cell) = 155.8
- uncorrected energy (eV per atom) = -6.051

Lattice parameters (Å, degrees): 4.4492 4.4492 9.0867 90.00 90.00 120.00
Space group P-3m1 (No. 164)
Asymmetric unit:
1 Er 0.3333 0.6667 0.2461 x2
2 Al 0.0000 0.0000 0.0000 x1
3 In 0.0000 0.0000 0.5000 x1
4 Pt 0.3333 0.6667 0.5984 x2
5 Pt 0.3333 0.6667 0.9185 x2



No. 7
First-principles (PBE-GGA) data for ErAlInTe3 after structural relaxation, as listed in the Open Quantum Materials Database.

Computed properties:
- V (Å³/cell) = 755.7
- uncorrected energy (eV per atom) = -4.037

Lattice parameters (Å, degrees): 4.414 15.087 11.349 90.00 90.00 90.00
Space group Cmcm (No. 63)
Asymmetric unit:
1 Er 0.000 0.000 0.000 x4
2 Al 0.000 0.467 0.250 x4
3 In 0.000 0.233 0.750 x4
4 Te 0.000 0.079 0.250 x4
5 Te 0.000 0.363 0.057 x8



No. 8
First-principles (PBE-GGA) data for Er2Al8Ir after structural relaxation, as listed in the Open Quantum Materials Database.

Computed properties:
- V (Å³/cell) = 203.3
- uncorrected energy (eV per atom) = -4.911

Lattice parameters (Å, degrees): 4.268 4.268 11.163 90.00 90.00 90.00
Space group P4/mmm (No. 123)
Asymmetric unit:
1 Er 0.000 0.000 0.190 x2
2 Al 0.000 0.500 0.000 x2
3 Al 0.000 0.500 0.378 x4
4 Al 0.500 0.500 0.195 x2
5 Ir 0.000 0.000 0.500 x1



No. 9
First-principles (PBE-GGA) data for LaErAlIr2 after structural relaxation, as listed in the Open Quantum Materials Database.

Computed properties:
- V (Å³/cell) = 212.4
- uncorrected energy (eV per atom) = -7.058

Lattice parameters (Å, degrees): 4.153 5.865 8.722 90.00 90.00 90.00
Space group Imm2 (No. 44)
Asymmetric unit:
1 La 0.000 0.000 0.000 x2
2 Er 0.000 0.000 0.603 x2
3 Al 0.000 0.500 0.801 x2
4 Ir 0.000 0.257 0.300 x4



No. 10
First-principles (PBE-GGA) data for NdErAlIr2 after structural relaxation, as listed in the Open Quantum Materials Database.

Computed properties:
- V (Å³/cell) = 209.5
- uncorrected energy (eV per atom) = -7.024

Lattice parameters (Å, degrees): 4.128 5.863 8.657 90.00 90.00 90.00
Space group Imm2 (No. 44)
Asymmetric unit:
1 Nd 0.000 0.000 0.000 x2
2 Er 0.000 0.000 0.604 x2
3 Al 0.000 0.500 0.802 x2
4 Ir 0.000 0.258 0.302 x4



No. 11
First-principles (PBE-GGA) data for Er3Al3NiIr2 after structural relaxation, as listed in the Open Quantum Materials Database.

Computed properties:
- V (Å³/cell) = 166.1
- uncorrected energy (eV per atom) = -6.192

Lattice parameters (Å, degrees): 6.9336 6.9336 3.9892 90.00 90.00 120.00
Space group P-62m (No. 189)
Asymmetric unit:
1 Er 0.0000 0.4094 0.0000 x3
2 Al 0.0000 0.7633 0.5000 x3
3 Ni 0.0000 0.0000 0.0000 x1
4 Ir 0.3333 0.6667 0.5000 x2



No. 12
First-principles (PBE-GGA) data for Er2AlIrOs after structural relaxation, as listed in the Open Quantum Materials Database.

Computed properties:
- V (Å³/cell) = 199.8
- uncorrected energy (eV per atom) = -7.292

Lattice parameters (Å, degrees): 4.069 8.479 5.791 90.00 90.00 90.00
Space group Imm2 (No. 44)
Asymmetric unit:
1 Er 0.000 0.205 0.000 x4
2 Al 0.000 0.000 0.509 x2
3 Ir 0.000 0.500 0.733 x2
4 Os 0.000 0.500 0.278 x2



No. 13
First-principles (PBE-GGA) data for Er2Al2IrPd3 after structural relaxation, as listed in the Open Quantum Materials Database.

Computed properties:
- V (Å³/cell) = 147.4
- uncorrected energy (eV per atom) = -6.058

Lattice parameters (Å, degrees): 4.3275 4.3275 9.0891 90.00 90.00 120.00
Space group P3m1 (No. 156)
Asymmetric unit:
1 Er 0.0000 0.0000 0.0000 x1
2 Er 0.3333 0.6667 0.4887 x1
3 Al 0.6667 0.3333 0.2258 x1
4 Al 0.6667 0.3333 0.7411 x1
5 Ir 0.3333 0.6667 0.1641 x1
6 Pd 0.0000 0.0000 0.3323 x1
7 Pd 0.0000 0.0000 0.6626 x1
8 Pd 0.3333 0.6667 0.8245 x1



No. 14
First-principles (PBE-GGA) data for PrErAlIr2 after structural relaxation, as listed in the Open Quantum Materials Database.

Computed properties:
- V (Å³/cell) = 211.1
- uncorrected energy (eV per atom) = -7.006

Lattice parameters (Å, degrees): 4.132 5.855 8.725 90.00 90.00 90.00
Space group Imm2 (No. 44)
Asymmetric unit:
1 Pr 0.000 0.000 0.000 x2
2 Er 0.000 0.000 0.397 x2
3 Al 0.000 0.500 0.198 x2
4 Ir 0.000 0.258 0.699 x4



No. 15
First-principles (PBE-GGA) data for Tb2ErAl3Si2Ir after structural relaxation, as listed in the Open Quantum Materials Database.

Computed properties:
- V (Å³/cell) = 349.3
- uncorrected energy (eV per atom) = -5.834

Lattice parameters (Å, degrees): 4.221 11.959 6.920 90.00 90.00 90.00
Space group Amm2 (No. 38)
Asymmetric unit:
1 Tb 0.000 0.208 0.000 x4
2 Er 0.000 0.000 0.376 x2
3 Al 0.500 0.000 0.025 x2
4 Al 0.500 0.116 0.674 x4
5 Si 0.500 0.165 0.292 x4
6 Ir 0.000 0.000 0.788 x2



No. 16
First-principles (PBE-GGA) data for TbEr2Al3Si2Ir after structural relaxation, as listed in the Open Quantum Materials Database.

Computed properties:
- V (Å³/cell) = 345.7
- uncorrected energy (eV per atom) = -5.832

Lattice parameters (Å, degrees): 4.211 11.939 6.877 90.00 90.00 90.00
Space group Amm2 (No. 38)
Asymmetric unit:
1 Tb 0.000 0.000 0.000 x2
2 Er 0.000 0.208 0.376 x4
3 Al 0.500 0.000 0.350 x2
4 Al 0.500 0.117 0.699 x4
5 Si 0.500 0.168 0.083 x4
6 Ir 0.000 0.000 0.580 x2



No. 17
First-principles (PBE-GGA) data for ErTm2Al3Si2Ir after structural relaxation, as listed in the Open Quantum Materials Database.

Computed properties:
- V (Å³/cell) = 339.9
- uncorrected energy (eV per atom) = -5.810

Lattice parameters (Å, degrees): 4.194 11.853 6.838 90.00 90.00 90.00
Space group Amm2 (No. 38)
Asymmetric unit:
1 Er 0.000 0.000 0.000 x2
2 Tm 0.000 0.208 0.375 x4
3 Al 0.500 0.000 0.349 x2
4 Al 0.500 0.117 0.701 x4
5 Si 0.500 0.167 0.083 x4
6 Ir 0.000 0.000 0.582 x2



No. 18
First-principles (PBE-GGA) data for TbErAlIr2 after structural relaxation, as listed in the Open Quantum Materials Database.

Computed properties:
- V (Å³/cell) = 202.7
- uncorrected energy (eV per atom) = -7.075

Lattice parameters (Å, degrees): 4.094 5.832 8.491 90.00 90.00 90.00
Space group Imm2 (No. 44)
Asymmetric unit:
1 Tb 0.000 0.000 0.000 x2
2 Er 0.000 0.000 0.396 x2
3 Al 0.000 0.500 0.198 x2
4 Ir 0.000 0.260 0.698 x4



No. 19
First-principles (PBE-GGA) data for ErTmAlIr2 after structural relaxation, as listed in the Open Quantum Materials Database.

Computed properties:
- V (Å³/cell) = 198.8
- uncorrected energy (eV per atom) = -7.076

Lattice parameters (Å, degrees): 4.091 5.800 8.381 90.00 90.00 90.00
Space group Imm2 (No. 44)
Asymmetric unit:
1 Er 0.000 0.000 0.000 x2
2 Tm 0.000 0.000 0.603 x2
3 Al 0.000 0.500 0.801 x2
4 Ir 0.000 0.260 0.301 x4



No. 20
First-principles (PBE-GGA) data for ErTmAl4Ir2 after structural relaxation, as listed in the Open Quantum Materials Database.

Computed properties:
- V (Å³/cell) = 474.1
- uncorrected energy (eV per atom) = -5.074

Lattice parameters (Å, degrees): 6.343 5.084 14.703 90.00 90.00 90.00
Space group Amm2 (No. 38)
Asymmetric unit:
1 Er 0.000 0.000 0.000 x2
2 Tm 0.000 0.000 0.759 x2
3 Al 0.293 0.000 0.290 x4
4 Al 0.294 0.000 0.471 x4
5 Ir 0.000 0.000 0.187 x2
6 Ir 0.000 0.000 0.573 x2



No. 21
First-principles (PBE-GGA) data for ErTmAl2Ir4 after structural relaxation, as listed in the Open Quantum Materials Database.

Computed properties:
- V (Å³/cell) = 143.7
- uncorrected energy (eV per atom) = -7.232

Lattice parameters (Å, degrees): 4.2802 4.2802 9.0590 90.00 90.00 120.00
Space group P-6m2 (No. 187)
Asymmetric unit:
1 Er 0.0000 0.0000 0.0000 x1
2 Tm 0.3333 0.6667 0.5000 x1
3 Al 0.6667 0.3333 0.2504 x2
4 Ir 0.0000 0.0000 0.3366 x2
5 Ir 0.3333 0.6667 0.1653 x2



No. 22
First-principles (PBE-GGA) data for YErAlIr2 after structural relaxation, as listed in the Open Quantum Materials Database.

Computed properties:
- V (Å³/cell) = 202.4
- uncorrected energy (eV per atom) = -7.443

Lattice parameters (Å, degrees): 4.090 5.830 8.488 90.00 90.00 90.00
Space group Imm2 (No. 44)
Asymmetric unit:
1 Y 0.000 0.000 0.000 x2
2 Er 0.000 0.000 0.397 x2
3 Al 0.000 0.500 0.198 x2
4 Ir 0.000 0.260 0.699 x4



No. 23
First-principles (PBE-GGA) data for KErAlTe3 after structural relaxation, as listed in the Open Quantum Materials Database.

Computed properties:
- V (Å³/cell) = 845.6
- uncorrected energy (eV per atom) = -4.044

Lattice parameters (Å, degrees): 4.804 15.282 11.520 90.00 90.00 90.00
Space group Cmcm (No. 63)
Asymmetric unit:
1 K 0.000 0.248 0.250 x4
2 Er 0.000 0.000 0.000 x4
3 Al 0.000 0.483 0.750 x4
4 Te 0.000 0.068 0.750 x4
5 Te 0.000 0.374 0.563 x8



No. 24
First-principles (PBE-GGA) data for LaErAl after structural relaxation, as listed in the Open Quantum Materials Database.

Computed properties:
- V (Å³/cell) = 361.9
- uncorrected energy (eV per atom) = -4.044
- offset from the most stable computed form (meV/atom) = 0

Lattice parameters (Å, degrees): 7.126 7.126 7.126 90.00 90.00 90.00
Space group F-43m (No. 216)
Asymmetric unit:
1 La 0.000 0.000 0.000 x4
2 Er 0.250 0.250 0.750 x4
3 Al 0.000 0.000 0.500 x4



No. 25
First-principles (PBE-GGA) data for LaErAl2Pd4 after structural relaxation, as listed in the Open Quantum Materials Database.

Computed properties:
- V (Å³/cell) = 155.8
- uncorrected energy (eV per atom) = -5.630

Lattice parameters (Å, degrees): 4.3969 4.3969 9.3045 90.00 90.00 120.00
Space group P-6m2 (No. 187)
Asymmetric unit:
1 La 0.0000 0.0000 0.0000 x1
2 Er 0.3333 0.6667 0.5000 x1
3 Al 0.6667 0.3333 0.2624 x2
4 Pd 0.0000 0.0000 0.3376 x2
5 Pd 0.3333 0.6667 0.1881 x2